Material: MoAsBr2
Method: DFT, PBE
State: relaxed

Computed properties:
The polymorph energy (0 for the lowest one) comes out at 838.2 meV per atom. The total energy comes out at -4.043 eV/atom.

Unit cell a=6.372 b=9.164 c=4.574 alpha=90.00 beta=133.96 gamma=90.00
Space group C2/m (No. 12)
Asymmetric unit:
Mo 0.000 0.000 0.000 x2
As 0.000 0.500 0.000 x2
Br 0.250 0.250 0.500 x4



Material: SmPaZn
Method: DFT, PBE
State: relaxed

Computed properties:
The polymorph energy (0 for the lowest one) comes out at 190.5 meV per atom. The total energy comes out at -4.912 eV/atom. The calculation puts the calculated formation energy at 0.251 eV per atom.

Unit cell a=5.0517 b=5.0517 c=3.3155 alpha=90.00 beta=90.00 gamma=120.00
Space group P3m1 (No. 156)
Asymmetric unit:
Sm 0.0000 0.0000 0.0000 x1
Pa 0.3333 0.6667 0.5719 x1
Zn 0.6667 0.3333 0.2584 x1



Material: Pa5Te5S2
Method: DFT, PBE
State: relaxed

Computed properties:
The total energy comes out at -6.854 eV/atom.

Unit cell a=13.967 b=4.106 c=12.641 alpha=90.00 beta=111.12 gamma=90.00
Space group C2/m (No. 12)
Asymmetric unit:
Pa 0.000 0.000 0.000 x2
Pa 0.119 0.000 0.417 x4
Pa 0.156 0.500 0.781 x4
Te 0.000 0.500 0.500 x2
Te 0.174 0.500 0.048 x4
Te 0.236 0.500 0.331 x4
S 0.027 0.000 0.795 x4



Material: GaSO3
Method: DFT, PBE
State: relaxed

Computed properties:
The total energy comes out at -4.545 eV/atom.

Unit cell a=3.720 b=3.720 c=3.720 alpha=90.00 beta=90.00 gamma=90.00
Space group Pm-3m (No. 221)
Asymmetric unit:
Ga 0.000 0.000 0.000 x1
S 0.500 0.500 0.500 x1
O 0.000 0.500 0.500 x3